[1]
Density functional theory data (GGA-PBE) for a relaxed structure of BaHg2Au.

Geometry as POSCAR:
```
BaHg2Au
1.0
3.183 -3.817 0.000
3.183 3.817 0.000
0.000 0.000 5.203
Ba Hg Au
1 2 1
direct
0.000 0.000 0.000
0.305 0.695 0.500
0.695 0.305 0.500
0.500 0.500 0.000
```

Results
Raw total energy ... -1.858 eV/atom
Symmetry ... Cmmm, No. 65
ρ ... 9661 kg/m³

[2]
Density functional theory data (GGA-PBE) for a relaxed structure of Ba3Hg3Au.

Geometry as POSCAR:
```
Ba3Hg3Au
1.0
6.276 -2.322 0.000
6.276 2.322 0.000
-5.973 0.000 17.440
Ba Hg Au
6 6 2
direct
0.071 0.071 0.401
0.098 0.098 0.921
0.250 0.250 0.235
0.750 0.750 0.765
0.902 0.902 0.079
0.929 0.929 0.599
0.378 0.378 0.443
0.384 0.384 0.923
0.467 0.467 0.764
0.533 0.533 0.236
0.616 0.616 0.077
0.622 0.622 0.557
0.249 0.249 0.630
0.751 0.751 0.370
```

Results
Raw total energy ... -1.968 eV/atom
Symmetry ... C2/m, No. 12
ρ ... 7911 kg/m³

[3]
Density functional theory data (GGA-PBE) for a relaxed structure of BaHgAu.

Geometry as POSCAR:
```
BaHgAu
1.0
5.014 0.000 0.000
-2.507 4.343 0.000
0.000 0.000 4.314
Ba Hg Au
1 1 1
direct
0.000 0.000 0.000
0.667 0.333 0.500
0.333 0.667 0.500
```

Results
Raw total energy ... -2.441 eV/atom
Symmetry ... P-6m2, No. 187
ρ ... 9454 kg/m³

[4]
Density functional theory data (GGA-PBE) for a relaxed structure of BaHg2Au.

Geometry as POSCAR:
```
BaHg2Au
1.0
4.062 0.000 0.000
0.000 4.062 0.000
0.000 0.000 6.992
Ba Hg Au
1 2 1
direct
0.000 0.000 0.000
0.500 0.500 0.291
0.500 0.500 0.709
0.000 0.000 0.500
```

Results
Raw total energy ... -1.786 eV/atom
Symmetry ... P4/mmm, No. 123
ρ ... 10586 kg/m³

[5]
Density functional theory data (GGA-PBE) for a relaxed structure of BaHg3Au3.

Geometry as POSCAR:
```
BaHg3Au3
1.0
7.749 0.000 0.000
0.000 7.749 0.000
0.000 0.000 7.749
Ba Hg Au
2 6 6
direct
0.000 0.000 0.000
0.500 0.500 0.500
0.000 0.250 0.500
0.000 0.750 0.500
0.250 0.500 0.000
0.500 0.000 0.250
0.500 0.000 0.750
0.750 0.500 0.000
0.000 0.500 0.250
0.000 0.500 0.750
0.250 0.000 0.500
0.500 0.250 0.000
0.500 0.750 0.000
0.750 0.000 0.500
```

Results
Raw total energy ... -1.874 eV/atom
Symmetry ... Pm-3n, No. 223
ρ ... 9493 kg/m³

[6]
Density functional theory data (GGA-PBE) for a relaxed structure of Ba3HgAu3.

Geometry as POSCAR:
```
Ba3HgAu3
1.0
9.861 0.000 0.000
-4.930 8.540 0.000
0.000 0.000 6.625
Ba Hg Au
6 2 6
direct
0.047 0.691 0.250
0.309 0.357 0.250
0.357 0.047 0.750
0.643 0.953 0.250
0.691 0.643 0.750
0.953 0.309 0.750
0.333 0.667 0.750
0.667 0.333 0.250
0.045 0.684 0.750
0.316 0.361 0.750
0.361 0.045 0.250
0.639 0.955 0.750
0.684 0.639 0.250
0.955 0.316 0.250
```

Results
Raw total energy ... -2.852 eV/atom
Symmetry ... P6_3/m, No. 176
ρ ... 7164 kg/m³

[7]
Density functional theory data (GGA-PBE) for a relaxed structure of Ba6HgAu3.

Geometry as POSCAR:
```
Ba6HgAu3
1.0
13.709 0.000 0.000
0.000 4.835 0.000
-4.585 0.000 13.276
Ba Hg Au
12 2 6
direct
0.032 0.250 0.391
0.105 0.250 0.941
0.229 0.750 0.271
0.294 0.750 0.759
0.380 0.250 0.540
0.426 0.750 0.094
0.574 0.250 0.906
0.620 0.750 0.460
0.706 0.250 0.241
0.771 0.250 0.729
0.895 0.750 0.059
0.968 0.750 0.609
0.446 0.250 0.297
0.554 0.750 0.703
0.062 0.250 0.166
0.191 0.750 0.504
0.340 0.250 0.925
0.660 0.750 0.075
0.809 0.250 0.496
0.938 0.750 0.834
```

Results
Raw total energy ... -2.712 eV/atom
Symmetry ... P2_1/m, No. 11
ρ ... 6097 kg/m³

[8]
Density functional theory data (GGA-PBE) for a relaxed structure of BaHg4Au.

Geometry as POSCAR:
```
BaHg4Au
1.0
2.714 -7.217 0.000
2.714 7.217 0.000
0.000 0.000 9.329
Ba Hg Au
2 8 2
direct
0.108 0.892 0.750
0.892 0.108 0.250
0.137 0.863 0.250
0.294 0.706 0.031
0.294 0.706 0.469
0.500 0.500 0.000
0.500 0.500 0.500
0.706 0.294 0.531
0.706 0.294 0.969
0.863 0.137 0.750
0.391 0.609 0.750
0.609 0.391 0.250
```

Results
Raw total energy ... -1.325 eV/atom
Symmetry ... Cmcm, No. 63
ρ ... 10330 kg/m³

[9]
Density functional theory data (GGA-PBE) for a relaxed structure of Ba3HgAu3.

Geometry as POSCAR:
```
Ba3HgAu3
1.0
6.253 -2.367 0.000
6.253 2.367 0.000
-5.697 0.000 15.704
Ba Hg Au
6 2 6
direct
0.041 0.041 0.390
0.102 0.102 0.923
0.242 0.242 0.230
0.758 0.758 0.770
0.898 0.898 0.077
0.959 0.959 0.610
0.256 0.256 0.608
0.744 0.744 0.392
0.379 0.379 0.453
0.388 0.388 0.923
0.473 0.473 0.770
0.527 0.527 0.230
0.612 0.612 0.077
0.621 0.621 0.547
```

Results
Raw total energy ... -2.930 eV/atom
Symmetry ... C2/m, No. 12
ρ ... 8596 kg/m³

[10]
Density functional theory data (GGA-PBE) for a relaxed structure of BaHg2Au5.

Geometry as POSCAR:
```
BaHg2Au5
1.0
-2.169 3.714 6.080
2.169 -3.714 6.080
2.169 3.714 -6.080
Ba Hg Au
1 2 5
direct
0.000 0.000 0.000
0.252 0.752 0.500
0.748 0.248 0.500
0.188 0.382 0.807
0.425 0.618 0.807
0.500 0.000 0.500
0.575 0.382 0.193
0.812 0.618 0.193
```

Results
Raw total energy ... -2.597 eV/atom
Symmetry ... Immm, No. 71
ρ ... 12914 kg/m³

[11]
Density functional theory data (GGA-PBE) for a relaxed structure of Ba3Hg7Au2.

Geometry as POSCAR:
```
Ba3Hg7Au2
1.0
4.971 0.000 0.000
0.000 4.772 0.000
-2.465 0.000 15.601
Ba Hg Au
3 7 2
direct
0.000 0.000 0.000
0.326 0.500 0.653
0.674 0.500 0.347
0.081 0.500 0.165
0.227 0.000 0.453
0.421 0.000 0.839
0.500 0.500 0.000
0.579 0.000 0.161
0.773 0.000 0.547
0.919 0.500 0.835
0.134 0.000 0.273
0.866 0.000 0.727
```

Results
Raw total energy ... -1.648 eV/atom
Symmetry ... P2/m, No. 10
ρ ... 9917 kg/m³

[12]
Density functional theory data (GGA-PBE) for a relaxed structure of Ba4Hg3Au2.

Geometry as POSCAR:
```
Ba4Hg3Au2
1.0
4.866 -2.811 0.000
4.866 2.811 0.000
-0.010 0.000 11.037
Ba Hg Au
4 3 2
direct
0.000 0.000 0.169
0.000 0.000 0.831
0.334 0.334 0.616
0.666 0.666 0.384
0.000 0.000 0.500
0.333 0.333 0.008
0.667 0.667 0.992
0.333 0.333 0.299
0.667 0.667 0.701
```

Results
Raw total energy ... -2.230 eV/atom
Symmetry ... C2/m, No. 12
ρ ... 8498 kg/m³

[13]
Density functional theory data (GGA-PBE) for a relaxed structure of BaHgAu10.

Geometry as POSCAR:
```
BaHgAu10
1.0
4.694 0.000 0.000
0.000 5.691 0.000
0.000 0.000 9.897
Ba Hg Au
1 1 10
direct
0.000 0.000 0.000
0.000 0.500 0.500
0.000 0.000 0.345
0.000 0.000 0.655
0.000 0.500 0.194
0.000 0.500 0.806
0.500 0.000 0.500
0.500 0.244 0.245
0.500 0.244 0.755
0.500 0.500 0.000
0.500 0.756 0.245
0.500 0.756 0.755
```

Results
Raw total energy ... -3.126 eV/atom
Symmetry ... Pmmm, No. 47
ρ ... 14493 kg/m³

[14]
Density functional theory data (GGA-PBE) for a relaxed structure of BaHg2Au10.

Geometry as POSCAR:
```
BaHg2Au10
1.0
0.000 6.559 7.246
2.888 0.000 7.246
2.888 6.559 0.000
Ba Hg Au
1 2 10
direct
0.000 0.000 0.000
0.000 0.500 0.000
0.500 0.000 0.500
0.000 0.000 0.500
0.012 0.646 0.354
0.284 0.501 0.499
0.354 0.988 0.012
0.499 0.716 0.284
0.500 0.500 0.000
0.501 0.284 0.716
0.646 0.012 0.988
0.716 0.499 0.501
0.988 0.354 0.646
```

Results
Raw total energy ... -2.849 eV/atom
Symmetry ... Fmmm, No. 69
ρ ... 15172 kg/m³

[15]
Density functional theory data (GGA-PBE) for a relaxed structure of BaHg2Au3.

Geometry as POSCAR:
```
BaHg2Au3
1.0
6.088 0.000 0.000
-3.044 5.272 0.000
0.000 0.000 4.671
Ba Hg Au
1 2 3
direct
0.000 0.000 0.000
0.333 0.667 0.000
0.667 0.333 0.000
0.000 0.500 0.500
0.500 0.000 0.500
0.500 0.500 0.500
```

Results
Raw total energy ... -2.390 eV/atom
Symmetry ... P6/mmm, No. 191
ρ ... 12509 kg/m³

[16]
Density functional theory data (GGA-PBE) for a relaxed structure of BaHgAu4.

Geometry as POSCAR:
```
BaHgAu4
1.0
0.000 4.109 4.109
4.109 0.000 4.109
4.109 4.109 0.000
Ba Hg Au
1 1 4
direct
0.000 0.000 0.000
0.250 0.250 0.250
0.127 0.624 0.624
0.624 0.127 0.624
0.624 0.624 0.127
0.624 0.624 0.624
```

Results
Raw total energy ... -2.909 eV/atom
Symmetry ... F-43m, No. 216
ρ ... 13471 kg/m³

[17]
Density functional theory data (GGA-PBE) for a relaxed structure of BaHg3Au2.

Geometry as POSCAR:
```
BaHg3Au2
1.0
9.102 -2.390 0.000
9.102 2.390 0.000
-4.058 0.000 7.627
Ba Hg Au
2 6 4
direct
0.140 0.140 0.189
0.860 0.860 0.811
0.035 0.035 0.691
0.321 0.321 0.096
0.358 0.358 0.507
0.642 0.642 0.493
0.679 0.679 0.904
0.965 0.965 0.309
0.205 0.205 0.709
0.493 0.493 0.152
0.507 0.507 0.848
0.795 0.795 0.291
```

Results
Raw total energy ... -1.930 eV/atom
Symmetry ... C2/m, No. 12
ρ ... 11341 kg/m³

[18]
Density functional theory data (GGA-PBE) for a relaxed structure of BaHg4Au4.

Geometry as POSCAR:
```
BaHg4Au4
1.0
9.415 0.000 0.000
0.000 9.415 0.000
0.000 0.000 5.701
Ba Hg Au
2 8 8
direct
0.250 0.250 0.250
0.750 0.750 0.750
0.112 0.628 0.148
0.128 0.888 0.648
0.372 0.612 0.648
0.388 0.872 0.148
0.612 0.128 0.852
0.628 0.388 0.352
0.872 0.112 0.352
0.888 0.372 0.852
0.070 0.587 0.657
0.087 0.930 0.157
0.413 0.570 0.157
0.430 0.913 0.657
0.570 0.087 0.343
0.587 0.430 0.843
0.913 0.070 0.843
0.930 0.413 0.343
```

Results
Raw total energy ... -1.970 eV/atom
Symmetry ... P4_2/n, No. 86
ρ ... 11352 kg/m³

[19]
Density functional theory data (GGA-PBE) for a relaxed structure of BaHg2Au.

Geometry as POSCAR:
```
BaHg2Au
1.0
0.000 3.856 3.856
3.856 0.000 3.856
3.856 3.856 0.000
Ba Hg Au
1 2 1
direct
0.000 0.000 0.000
0.250 0.250 0.250
0.750 0.750 0.750
0.500 0.500 0.500
```

Results
Raw total energy ... -1.822 eV/atom
Symmetry ... Fm-3m, No. 225
ρ ... 10654 kg/m³

[20]
Density functional theory data (GGA-PBE) for a relaxed structure of BaHg2Au.

Geometry as POSCAR:
```
BaHg2Au
1.0
5.794 -2.121 0.000
5.794 2.121 0.000
-2.530 0.000 4.808
Ba Hg Au
1 2 1
direct
0.000 0.000 0.000
0.221 0.221 0.720
0.779 0.779 0.280
0.500 0.500 0.500
```

Results
Raw total energy ... -1.877 eV/atom
Symmetry ... C2/m, No. 12
ρ ... 10336 kg/m³

[21]
Density functional theory data (GGA-PBE) for a relaxed structure of Ba8HgAu3.

Geometry as POSCAR:
```
Ba8HgAu3
1.0
4.890 2.823 7.494
-4.890 2.823 7.494
0.000 -5.646 7.494
Ba Hg Au
8 1 3
direct
0.233 0.752 0.752
0.246 0.246 0.246
0.248 0.248 0.767
0.248 0.767 0.248
0.752 0.233 0.752
0.752 0.752 0.233
0.754 0.754 0.754
0.767 0.248 0.248
0.500 0.500 0.500
0.000 0.000 0.500
0.000 0.500 0.000
0.500 0.000 0.000
```

Results
Raw total energy ... -2.572 eV/atom
Symmetry ... R-3m, No. 166
ρ ... 5058 kg/m³